A relaxed LaSi2Br crystal. Source: Alexandria, functional PBE-GGA.

Calculated values
Uncorrected formation energy   -6.7 kcal/mol of atoms
DFT total energy   -4.65 eV/atom
Symmetry   P4/mmm
Total magnetic moment   0.000 μB per formula unit
N(E_F)   2.8 states/eV per cell
Crystal system   tetragonal

a b c (Å): 4.060 4.060 5.587
angles (deg): 90.00 90.00 90.00
Element x y z (fractional)
1 La 0.000 0.000 0.000
2 Si 0.000 0.500 0.500
3 Si 0.500 0.000 0.500
4 Br 0.500 0.500 0.000

***

A relaxed AcTbGa2Au5 crystal. Source: Alexandria, functional PBE-GGA.

Calculated values
DFT total energy   -3.99 eV/atom
Symmetry   P4/mmm
Total magnetic moment   0.000 μB per formula unit
N(E_F)   3.9 states/eV per cell
Crystal system   tetragonal

a b c (Å): 4.863 4.863 8.559
angles (deg): 90.00 90.00 90.00
Element x y z (fractional)
1 Ac 0.000 0.000 0.000
2 Tb 0.000 0.000 0.500
3 Ga 0.500 0.500 0.352
4 Ga 0.500 0.500 0.648
5 Au 0.000 0.500 0.258
6 Au 0.000 0.500 0.742
7 Au 0.500 0.000 0.258
8 Au 0.500 0.000 0.742
9 Au 0.500 0.500 0.000